Entry 1:
Crystalline LiTiCd2Si at its relaxed geometry, computed with GGA-PBE.

ΔE_f (raw): 0.372 eV per atom
E_tot: -15.20 eV for the cell shown
ρ: 4.27 Mg/m³
Crystal system: tetragonal
Space group: P4/mmm

POSCAR file:
```
LiTiCd2Si
1.0
-2.805 -2.764 -3.076
3.931 -1.320 -2.399
0.537 -3.928 3.041
Cd Li Ti Si
2 1 1 1
Cartesian
0.268 -1.964 1.520
-1.402 -1.382 -1.538
0.832 -4.006 -1.217
1.966 -0.660 -1.200
0.000 0.000 0.000
```

Entry 2:
Crystalline ZrNb at its relaxed geometry, computed with GGA-PBE.

DFT formation energy: 1.842 eV per atom
E_tot: -119.47 eV for the cell shown
ρ: 4.33 Mg/m³
Crystal system: cubic
Space group: I-43m

POSCAR file:
```
ZrNb
1.0
-5.871 -0.695 5.780
5.703 -2.334 5.513
1.169 7.901 2.137
Nb Zr
8 8
Cartesian
1.014 6.637 3.196
1.975 3.161 6.931
0.384 1.872 5.161
-4.397 0.030 5.996
4.499 -1.230 5.791
-0.704 3.540 6.993
0.345 1.171 7.774
0.884 4.308 11.876
0.211 1.026 2.829
4.187 4.248 7.256
0.711 3.462 9.544
-2.184 1.117 6.321
0.113 -0.727 9.364
2.692 0.426 6.208
-2.511 5.197 7.410
0.782 4.739 4.786
```

Entry 3:
Crystalline Tm4TiZn5 at its relaxed geometry, computed with GGA-PBE.

DFT formation energy: -0.286 eV per atom
E_tot: -35.01 eV for the cell shown
ρ: 8.52 Mg/m³
Crystal system: tetragonal
Space group: P4/mmm

POSCAR file:
```
Tm4TiZn5
1.0
-2.614 1.311 1.827
-1.757 -2.939 -0.404
7.011 -6.178 14.458
Tm Zn Ti
4 5 1
Cartesian
5.699 -5.021 11.752
2.770 -2.441 5.713
1.312 -1.156 2.706
4.241 -3.737 8.745
-1.623 -1.310 1.872
4.264 -6.496 14.010
1.321 -3.903 7.941
-0.145 -2.612 4.918
2.787 -5.195 10.964
0.000 0.000 0.000
```

Entry 4:
Crystalline AcBPbO4 at its relaxed geometry, computed with GGA-PBE.

ΔE_f (raw): -2.383 eV per atom
E_tot: -102.02 eV for the cell shown
ρ: 8.09 Mg/m³
Crystal system: monoclinic
Space group: P2_1/m

POSCAR file:
```
AcBPbO4
1.0
-0.456 -5.355 1.281
4.134 0.432 3.275
-4.274 3.386 4.950
Ac Pb O B
2 2 8 2
Cartesian
-1.393 0.666 3.809
0.797 -2.203 5.697
0.729 -1.067 1.358
-1.325 -0.470 8.147
-3.592 -2.558 5.072
0.834 0.309 5.319
2.996 1.021 4.434
-1.430 -1.846 4.187
1.122 0.825 2.950
2.136 -1.237 3.879
-2.733 -0.300 5.627
-1.718 -2.362 6.556
1.799 0.169 4.119
-2.395 -1.706 5.386
```